## Cr2HgRh (PBE)

Data for an optimized crystal structure of Cr2HgRh.

Values from the calculation:
ρ, g/cm³: 11.5
Crystal system: trigonal
Calculated formation energy, kcal/mol of atoms: 11.67
E_tot, eV per atom: -6.219
Symmetry: No. 166

POSCAR file:
```
Cr2HgRh
1.0
2.7529 0.0000 0.0000
-1.3764 2.3841 0.0000
0.0000 0.0000 26.9356
Cr Hg Rh
6 3 3
direct
0.0000 0.0000 0.2434 Cr
0.0000 0.0000 0.7566 Cr
0.3333 0.6667 0.4232 Cr
0.3333 0.6667 0.9101 Cr
0.6667 0.3333 0.0899 Cr
0.6667 0.3333 0.5768 Cr
0.0000 0.0000 0.0000 Hg
0.3333 0.6667 0.6667 Hg
0.6667 0.3333 0.3333 Hg
0.0000 0.0000 0.5000 Rh
0.3333 0.6667 0.1667 Rh
0.6667 0.3333 0.8333 Rh
```

## Cr2Hg2Rh (PBE)

Data for an optimized crystal structure of Cr2Hg2Rh.

Values from the calculation:
ρ, g/cm³: 11.6
Crystal system: tetragonal
Calculated formation energy, kcal/mol of atoms: 17.02
E_tot, eV per atom: -4.702
Symmetry: No. 127
Distance to the lowest polymorph of the same formula, eV/atom: 0.1486

POSCAR file:
```
Cr2Hg2Rh
1.0
7.6716 0.0000 0.0000
0.0000 7.6716 0.0000
0.0000 0.0000 2.9643
Cr Hg Rh
4 4 2
direct
0.0870 0.4130 0.0000 Cr
0.4130 0.9130 0.0000 Cr
0.5870 0.0870 0.0000 Cr
0.9130 0.5870 0.0000 Cr
0.2021 0.7021 0.5000 Hg
0.2979 0.2021 0.5000 Hg
0.7021 0.7979 0.5000 Hg
0.7979 0.2979 0.5000 Hg
0.0000 0.0000 0.5000 Rh
0.5000 0.5000 0.5000 Rh
```

## CrHg2Rh (PBE)

Data for an optimized crystal structure of CrHg2Rh.

Values from the calculation:
ρ, g/cm³: 12.4
Crystal system: trigonal
Calculated formation energy, kcal/mol of atoms: 9.47
E_tot, eV per atom: -3.984
Symmetry: No. 166
Distance to the lowest polymorph of the same formula, eV/atom: 0.2212

POSCAR file:
```
CrHg2Rh
1.0
3.1138 0.0000 0.0000
-1.5569 2.6966 0.0000
0.0000 0.0000 26.5472
Cr Hg Rh
3 6 3
direct
0.0000 0.0000 0.0000 Cr
0.3333 0.6667 0.6667 Cr
0.6667 0.3333 0.3333 Cr
0.0000 0.0000 0.2490 Hg
0.0000 0.0000 0.7510 Hg
0.3333 0.6667 0.4176 Hg
0.3333 0.6667 0.9157 Hg
0.6667 0.3333 0.0843 Hg
0.6667 0.3333 0.5824 Hg
0.0000 0.0000 0.5000 Rh
0.3333 0.6667 0.1667 Rh
0.6667 0.3333 0.8333 Rh
```

## Cr3HgRh (PBE)

Data for an optimized crystal structure of Cr3HgRh.

Values from the calculation:
ρ, g/cm³: 7.0
Crystal system: cubic
Calculated formation energy, kcal/mol of atoms: 25.56
E_tot, eV per atom: -6.196
Symmetry: No. 221
Distance to the lowest polymorph of the same formula, eV/atom: 0.0000

POSCAR file:
```
Cr3HgRh
1.0
4.7697 0.0000 0.0000
0.0000 4.7697 0.0000
0.0000 0.0000 4.7697
Cr Hg Rh
3 1 1
direct
0.0000 0.0000 0.5000 Cr
0.0000 0.5000 0.0000 Cr
0.5000 0.0000 0.0000 Cr
0.5000 0.5000 0.5000 Hg
0.0000 0.0000 0.0000 Rh
```